4
Lattice="3.6775 0.0000 0.0000 0.0000 3.6775 0.0000 0.0000 0.0000 10.1688" Properties=species:S:1:pos:R:3 comment="SmEu2Br (PBE, relaxed)" relative_energy_mev_per_atom=65.4 dft_energy_ev_per_atom=-7.33 e_form_raw_mev_per_atom=-599 pbc="T T T"
Br 1.8388 1.8388 0.0000
Sm 1.8388 1.8388 5.0844
Eu 0.0000 0.0000 7.9217
Eu 0.0000 0.0000 2.2471



3
Lattice="7.0194 0.3144 -0.3567 5.6484 4.1794 -0.3562 1.3711 0.4858 3.8343" Properties=species:S:1:pos:R:3 comment="LaHgP (PBE, relaxed)" delta_e_f_ev_per_atom=-0.690 relative_energy_mev_per_atom=104.6 dft_energy_ev_per_atom=-4.24 pbc="T T T"
P 10.1072 3.5853 0.3178
Hg 12.5305 4.4450 -0.6576
La 4.0690 1.4430 2.7483



10
Lattice="7.6171 0.0015 -0.0084 3.8099 6.5927 0.0009 3.8009 2.2037 6.8692" Properties=species:S:1:pos:R:3 comment="CsAg2SbBr6 (PBE, relaxed)" dft_energy_ev_per_atom=-2.80 e_form_raw_mev_per_atom=-724 pbc="T T T"
Br 7.9592 6.5139 5.1674
Br 5.6068 3.6481 5.1640
Br 10.0964 4.4195 1.5324
Br 6.4006 2.2377 1.5339
Br 9.2600 3.0493 5.1546
Br 6.3584 6.5274 1.5438
Ag 7.6200 4.3933 2.8223
Ag 11.4288 6.5945 0.2263
Cs 11.4187 6.5995 4.3781
Sb 3.8079 2.1991 0.0157



19
Lattice="7.7914 -0.1201 -0.1692 -2.0478 7.5184 -0.1692 -2.0478 -2.6377 7.0425" Properties=species:S:1:pos:R:3 comment="Li6TbCd12 (PBE, relaxed)" delta_e_f_ev_per_atom=-0.084 dft_energy_ev_per_atom=-1.51 pbc="T T T"
Cd -1.9160 1.4172 6.1109
Cd 5.6118 -0.5418 3.3521
Cd 1.7226 4.7253 3.9997
Cd 1.7226 2.2188 5.7795
Cd -0.4550 1.9204 2.7045
Cd 1.8479 -1.5049 6.1109
Cd 4.1508 2.8401 3.9997
Cd 1.9733 0.0352 2.7045
Cd -1.9160 5.3024 3.3521
Cd 1.9733 2.5417 0.9246
Cd 5.6118 3.3434 0.5933
Cd 1.8479 6.2654 0.5933
Li -0.7129 3.5032 4.9335
Li 4.4087 1.2573 1.7707
Li 3.5706 0.1778 4.9335
Li 0.1252 0.1613 4.9103
Li 3.5706 4.5993 1.7938
Li 0.1252 4.5828 1.7707
Tb 0.0000 0.0000 0.0000



5
Lattice="3.4552 0.0000 0.0000 0.0000 3.4552 0.0000 0.0000 0.0000 4.1876" Properties=species:S:1:pos:R:3 comment="BeCr2HPt (PBE, relaxed)" dft_energy_ev_per_atom=-6.54 pbc="T T T"
Be 0.0000 0.0000 2.0938
Cr 0.0000 1.7276 0.0000
Cr 1.7276 0.0000 0.0000
Pt 1.7276 1.7276 2.0938
H 0.0000 0.0000 0.0000



4
Lattice="4.3191 0.0000 0.0000 0.0000 4.3805 0.0000 0.0000 0.0000 4.3805" Properties=species:S:1:pos:R:3 comment="Zn2AgBi (PBE, relaxed)" delta_e_f_ev_per_atom=0.177 dft_energy_ev_per_atom=-2.14 pbc="T T T"
Ag 2.1596 2.1902 2.1902
Zn 0.0000 0.0000 2.1902
Zn 0.0000 2.1902 0.0000
Bi 2.1596 0.0000 0.0000



> Which formula does entry 6 have?

Zn2AgBi